Entry from the Alexandria database: an optimized crystal structure of Tl2TcBr6 (PBE).

abc: 7.4478 7.4478 7.4478
angles: 60.00 60.00 60.00
Each line ends with the local moment (μB).
Atoms (fractional coordinates):
Tl 0.2500 0.2500 0.2500  0.01
Tl 0.7500 0.7500 0.7500  0.01
Tc 0.0000 0.0000 0.0000  2.29
Br 0.2401 0.7599 0.7599  0.04
Br 0.2401 0.7599 0.2401  0.04
Br 0.7599 0.2401 0.7599  0.04
Br 0.7599 0.2401 0.2401  0.04
Br 0.7599 0.7599 0.2401  0.04
Br 0.2401 0.2401 0.7599  0.04

The spin magnetization comes out at 3.0 μB/f.u. The calculation puts the volume at 292.1 Å³/cell. Its density is 5.6 g cm⁻³. As for the space-group type: Fm-3m. The value obtained for the total energy is -3.422 eV per atom.